{"formula": "Al2PO6", "functional": "PBE", "state": "optimized geometry", "final_energy_ev_per_atom": -7.071, "n_ef_per_ev_atom": 0.430, "mass_density_g_cm3": 3.9, "cell": [[-0.829, -1.201, 4.055], [3.535, -2.464, -0.008], [4.469, 6.403, 2.810]], "species": ["Al", "Al", "Al", "Al", "O", "O", "O", "O", "O", "O", "O", "O", "O", "O", "O", "O", "P", "P"], "fractional_positions": [[0.500, 0.500, 0.166], [0.000, 0.000, 0.334], [0.500, 0.500, 0.834], [0.000, 0.000, 0.666], [0.188, 0.812, 0.847], [0.812, 0.188, 0.153], [0.688, 0.688, 0.347], [0.285, 0.285, 0.000], [0.812, 0.188, 0.847], [0.715, 0.715, 0.000], [0.688, 0.688, 0.653], [0.312, 0.312, 0.653], [0.312, 0.312, 0.347], [0.785, 0.215, 0.500], [0.188, 0.812, 0.153], [0.215, 0.785, 0.500], [0.000, 0.000, 0.000], [0.500, 0.500, 0.500]]}